Record 1
Compound: Y3In12Pb5
Source: Alexandria
Functional: PBE
Structure: relaxed

- ρ (g/cm3) = 6.32
- ΔE_f (eV per atom) = 0.194
- D(E_F) (states/eV/atom) = 0.627
- final energy (eV per cell) = -267.67

a = 15.410 Å, b = 15.410 Å, c = 15.410 Å
α = 109.47°, β = 109.47°, γ = 109.47°
Positions (direct):
Y 0.750 0.375 0.125
Y 0.875 0.750 0.125
Y 0.375 0.750 0.625
Y 0.250 0.125 0.375
Y 0.875 0.125 0.250
Y 0.375 0.625 0.250
Y 0.625 0.375 0.750
Y 0.125 0.875 0.750
Y 0.750 0.875 0.625
Y 0.625 0.250 0.375
Y 0.125 0.250 0.875
Y 0.250 0.625 0.875
Pb 0.125 0.375 0.250
Pb 0.000 0.500 0.000
Pb 0.000 0.000 0.000
Pb 0.375 0.250 0.125
Pb 0.500 0.000 0.500
Pb 0.500 0.500 0.000
Pb 0.125 0.750 0.375
Pb 0.750 0.125 0.875
Pb 0.750 0.625 0.375
Pb 0.375 0.125 0.750
Pb 0.625 0.875 0.250
Pb 0.500 0.500 0.500
Pb 0.500 0.000 0.000
Pb 0.000 0.000 0.500
Pb 0.250 0.375 0.625
Pb 0.250 0.875 0.125
Pb 0.000 0.500 0.500
Pb 0.875 0.250 0.625
Pb 0.625 0.750 0.875
Pb 0.875 0.625 0.750
In 0.731 0.125 0.058
In 0.327 0.558 0.433
In 0.942 0.375 0.269
In 0.558 0.231 0.125
In 0.606 0.731 0.673
In 0.942 0.567 0.173
In 0.327 0.769 0.394
In 0.067 0.894 0.125
In 0.567 0.942 0.673
In 0.731 0.606 0.173
In 0.769 0.442 0.375
In 0.827 0.933 0.058
In 0.125 0.731 0.558
In 0.375 0.433 0.106
In 0.106 0.933 0.375
In 0.394 0.125 0.567
In 0.106 0.173 0.231
In 0.442 0.673 0.067
In 0.827 0.894 0.269
In 0.125 0.394 0.067
In 0.375 0.942 0.769
In 0.567 0.625 0.394
In 0.933 0.827 0.558
In 0.769 0.327 0.894
In 0.433 0.375 0.606
In 0.067 0.173 0.442
In 0.231 0.673 0.106
In 0.173 0.106 0.731
In 0.625 0.058 0.231
In 0.875 0.606 0.933
In 0.558 0.327 0.933
In 0.606 0.875 0.433
In 0.894 0.827 0.769
In 0.894 0.067 0.625
In 0.875 0.269 0.442
In 0.173 0.067 0.942
In 0.625 0.567 0.894
In 0.433 0.058 0.327
In 0.269 0.394 0.827
In 0.231 0.558 0.625
In 0.933 0.106 0.875
In 0.673 0.231 0.606
In 0.442 0.769 0.875
In 0.058 0.433 0.827
In 0.394 0.269 0.327
In 0.058 0.625 0.731
In 0.673 0.442 0.567
In 0.269 0.875 0.942

Record 2
Compound: YInPb2
Source: Alexandria
Functional: PBE
Structure: relaxed

- ρ (g/cm3) = 8.64
- ΔE_f (eV per atom) = -0.112
- D(E_F) (states/eV/atom) = 0.519
- final energy (eV per cell) = -17.07

a = 10.451 Å, b = 10.451 Å, c = 10.451 Å
α = 20.17°, β = 20.17°, γ = 20.17°
Positions (direct):
In 0.750 0.750 0.750
Pb 0.002 0.002 0.002
Pb 0.250 0.250 0.250
Y 0.498 0.498 0.498

Record 3
Compound: Y2InPb4
Source: Alexandria
Functional: PBE
Structure: relaxed

- ρ (g/cm3) = 8.78
- ΔE_f (eV per atom) = -0.272
- D(E_F) (states/eV/atom) = 0.632
- final energy (eV per cell) = -32.40

a = 6.808 Å, b = 6.808 Å, c = 6.617 Å
α = 120.79°, β = 120.79°, γ = 89.72°
Positions (direct):
Y 0.286 0.786 0.571
Y 0.786 0.286 0.571
In 0.786 0.786 0.572
Pb 0.786 0.786 0.072
Pb 0.286 0.286 0.071
Pb 0.786 0.286 0.071
Pb 0.286 0.786 0.071

Record 4
Compound: YInPb2
Source: Alexandria
Functional: PBE
Structure: relaxed

- ρ (g/cm3) = 8.64
- ΔE_f (eV per atom) = -0.158
- D(E_F) (states/eV/atom) = 0.342
- final energy (eV per cell) = -17.25

a = 3.556 Å, b = 3.556 Å, c = 9.391 Å
α = 90.00°, β = 90.00°, γ = 90.00°
Positions (direct):
In 0.500 0.500 0.750
Pb 0.000 0.000 0.010
Pb 0.000 0.000 0.490
Y 0.500 0.500 0.250

Record 5
Compound: YIn4Pb
Source: Alexandria
Functional: PBE
Structure: relaxed

- ρ (g/cm3) = 7.73
- ΔE_f (eV per atom) = -0.098
- D(E_F) (states/eV/atom) = 0.750
- final energy (eV per cell) = -21.72

a = 6.121 Å, b = 6.121 Å, c = 6.121 Å
α = 60.00°, β = 60.00°, γ = 60.00°
Positions (direct):
Y 0.000 0.000 0.000
In 0.874 0.375 0.375
In 0.375 0.375 0.874
In 0.375 0.874 0.375
In 0.375 0.375 0.375
Pb 0.750 0.750 0.750

Record 6
Compound: YIn2Pb
Source: Alexandria
Functional: PBE
Structure: relaxed

- ρ (g/cm3) = 8.24
- ΔE_f (eV per atom) = -0.364
- D(E_F) (states/eV/atom) = 0.584
- final energy (eV per cell) = -17.11

a = 4.601 Å, b = 4.602 Å, c = 5.002 Å
α = 90.00°, β = 90.00°, γ = 90.00°
Positions (direct):
Pb 0.500 0.000 0.500
Y 0.000 0.500 0.500
In 0.000 0.000 0.000
In 0.500 0.500 0.000

Copy entry 2 word for word.
Compound: YInPb2
Source: Alexandria
Functional: PBE
Structure: relaxed

- ρ (g/cm3) = 8.64
- ΔE_f (eV per atom) = -0.112
- D(E_F) (states/eV/atom) = 0.519
- final energy (eV per cell) = -17.07

a = 10.451 Å, b = 10.451 Å, c = 10.451 Å
α = 20.17°, β = 20.17°, γ = 20.17°
Positions (direct):
In 0.750 0.750 0.750
Pb 0.002 0.002 0.002
Pb 0.250 0.250 0.250
Y 0.498 0.498 0.498

Please write out number 3 again, unchanged.
Compound: Y2InPb4
Source: Alexandria
Functional: PBE
Structure: relaxed

- ρ (g/cm3) = 8.78
- ΔE_f (eV per atom) = -0.272
- D(E_F) (states/eV/atom) = 0.632
- final energy (eV per cell) = -32.40

a = 6.808 Å, b = 6.808 Å, c = 6.617 Å
α = 120.79°, β = 120.79°, γ = 89.72°
Positions (direct):
Y 0.286 0.786 0.571
Y 0.786 0.286 0.571
In 0.786 0.786 0.572
Pb 0.786 0.786 0.072
Pb 0.286 0.286 0.071
Pb 0.786 0.286 0.071
Pb 0.286 0.786 0.071